(1)
A relaxed structure of La5PmDyHo2. Source: Alexandria, functional GGA-PBE.

abc: 11.2359 11.2359 10.6703
angles: 90.00 90.00 151.61
Fractional coordinates of all 18 atoms:
La  0.0000  0.0000  0.0000
La  0.0000  0.0000  0.5000
La  0.1229  0.8771  0.7500
La  0.2207  0.7793  0.0603
La  0.2207  0.7793  0.4397
La  0.5004  0.4996  0.2500
La  0.4996  0.5004  0.7500
La  0.7793  0.2207  0.5603
La  0.7793  0.2207  0.9397
La  0.8771  0.1229  0.2500
Pm  0.2866  0.7134  0.7500
Pm  0.7134  0.2866  0.2500
Dy  0.1001  0.8999  0.2500
Dy  0.8999  0.1001  0.7500
Ho  0.3874  0.6126  0.5017
Ho  0.3874  0.6126  0.9983
Ho  0.6126  0.3874  0.0017
Ho  0.6126  0.3874  0.4983

Calculated values
Its theoretical density is 6.91 g cm⁻³. For the final energy, the calculation gives -4.667 eV per atom.

(2)
A relaxed structure of La2Pr6DyHo3. Source: Alexandria, functional GGA-PBE.

abc: 6.3558 6.3558 12.0623
angles: 95.04 95.04 120.03
Fractional coordinates of all 12 atoms:
La  0.1667  0.8333  0.0000
La  0.8333  0.1667  0.0000
Pr  0.0831  0.4151  0.7452
Pr  0.2526  0.2526  0.2551
Pr  0.4151  0.0831  0.7452
Pr  0.5849  0.9169  0.2548
Pr  0.7474  0.7474  0.7449
Pr  0.9169  0.5849  0.2548
Dy  0.5000  0.5000  0.0000
Ho  0.0000  0.0000  0.5000
Ho  0.3336  0.6664  0.5000
Ho  0.6664  0.3336  0.5000

Calculated values
Its theoretical density is 7.12 g cm⁻³. For the final energy, the calculation gives -4.721 eV per atom.

(3)
A relaxed structure of LaPr6Dy3Ho2. Source: Alexandria, functional GGA-PBE.

abc: 6.3310 6.3310 11.9908
angles: 95.04 95.04 120.01
Fractional coordinates of all 12 atoms:
La  0.0000  0.0000  0.0000
Pr  0.0842  0.4186  0.2520
Pr  0.2499  0.2499  0.7479
Pr  0.4186  0.0842  0.2520
Pr  0.5814  0.9158  0.7480
Pr  0.7501  0.7501  0.2521
Pr  0.9158  0.5814  0.7480
Dy  0.1671  0.8329  0.5000
Dy  0.5000  0.5000  0.5000
Dy  0.8329  0.1671  0.5000
Ho  0.3335  0.6665  0.0000
Ho  0.6665  0.3335  0.0000

Calculated values
Its theoretical density is 7.30 g cm⁻³. For the final energy, the calculation gives -4.698 eV per atom.

(4)
A relaxed structure of La2PrDyHo5. Source: Alexandria, functional GGA-PBE.

abc: 9.9939 9.9939 9.9939
angles: 128.34 128.34 76.08
Fractional coordinates of all 18 atoms:
La  0.1172  0.6172  0.7343
La  0.3828  0.1172  0.5000
La  0.6172  0.8828  0.5000
La  0.8828  0.3828  0.2657
Pr  0.2500  0.2500  0.0000
Pr  0.7500  0.7500  0.0000
Dy  0.2500  0.7500  0.5000
Dy  0.7500  0.2500  0.5000
Ho  0.0000  0.0000  0.0000
Ho  0.0742  0.1449  0.5000
Ho  0.1449  0.6449  0.0706
Ho  0.3551  0.4258  0.5000
Ho  0.4258  0.9258  0.0706
Ho  0.5000  0.5000  0.0000
Ho  0.5742  0.0742  0.9294
Ho  0.6449  0.5742  0.5000
Ho  0.8551  0.3551  0.9294
Ho  0.9258  0.8551  0.5000

Calculated values
Its theoretical density is 7.82 g cm⁻³. For the final energy, the calculation gives -4.427 eV per atom.

(5)
A relaxed structure of La2Pr3Dy6Ho. Source: Alexandria, functional GGA-PBE.

abc: 6.2826 6.2826 11.9065
angles: 95.03 95.03 120.00
Fractional coordinates of all 12 atoms:
La  0.1661  0.8339  0.0000
La  0.8339  0.1661  0.0000
Pr  0.0000  0.0000  0.5000
Pr  0.3332  0.6668  0.5000
Pr  0.6668  0.3332  0.5000
Dy  0.0844  0.4166  0.7504
Dy  0.2514  0.2514  0.2500
Dy  0.4166  0.0844  0.7504
Dy  0.5834  0.9156  0.2496
Dy  0.7486  0.7486  0.7500
Dy  0.9156  0.5834  0.2496
Ho  0.5000  0.5000  0.0000

Calculated values
Its theoretical density is 7.63 g cm⁻³. For the final energy, the calculation gives -4.684 eV per atom.

(6)
A relaxed structure of La3Pr2Dy6Ho. Source: Alexandria, functional GGA-PBE.

abc: 6.2850 6.2850 11.9088
angles: 95.04 95.04 120.01
Fractional coordinates of all 12 atoms:
La  0.0000  0.0000  0.0000
La  0.3330  0.6670  0.0000
La  0.6670  0.3330  0.0000
Pr  0.1664  0.8336  0.5000
Pr  0.8336  0.1664  0.5000
Dy  0.0852  0.4177  0.2527
Dy  0.2501  0.2501  0.7475
Dy  0.4177  0.0852  0.2527
Dy  0.5823  0.9148  0.7473
Dy  0.7499  0.7499  0.2525
Dy  0.9148  0.5823  0.7473
Ho  0.5000  0.5000  0.5000

Calculated values
Its theoretical density is 7.61 g cm⁻³. For the final energy, the calculation gives -4.696 eV per atom.